[1]
A plane-wave DFT calculation with meta-GGA SCAN was carried out for NiP2H8O10 at its PBEsol-relaxed geometry.

Calculated values
For the density of states at the Fermi level, the calculation gives 0.00 states/eV/f.u. The calculation puts the total DFT energy (no corrections) at -7.619 eV per atom. The volume is 8.38 Å³ per atom. As for the spin magnetization: 4.1 Bohr magnetons per cell. As for the theoretical density: 2725 kg/m3.

Structure (extended XYZ):
```
42
Lattice="5.146 0.000 0.000 0.000 9.822 0.000 -4.889 0.000 6.961" Properties=species:S:1:pos:R:3 pbc="T T T"
Ni 0.000 0.000 0.000
Ni -2.444 4.911 3.480
P -1.178 2.134 2.366
P -3.623 2.777 5.846
P 3.880 7.045 1.115
P 1.436 7.688 4.595
H 0.630 7.203 0.040
H -1.815 7.530 3.521
H -2.027 0.724 5.808
H 0.417 4.187 2.328
H 1.009 5.475 1.597
H -1.436 9.258 5.077
H -0.639 1.001 4.262
H 1.805 3.910 0.781
H -1.548 5.912 6.179
H 0.897 8.821 2.699
H 1.693 0.564 1.884
H -0.752 4.347 5.364
H -0.160 5.635 4.633
H 2.285 9.098 1.152
H 2.072 2.292 3.440
H -0.373 2.619 6.920
O -1.667 6.575 2.519
O -4.112 8.158 5.999
O -3.504 1.255 6.010
O -1.059 3.656 2.529
O 0.233 6.633 0.859
O -2.211 8.100 4.340
O -0.260 1.387 3.372
O -2.705 3.524 6.852
O -1.051 5.223 4.943
O 1.394 9.510 1.462
O -1.137 0.312 5.498
O 1.308 4.599 2.018
O 2.962 6.298 0.108
O 0.518 8.435 3.589
O 2.468 1.722 2.621
O 0.024 3.189 6.101
O 1.317 6.166 4.431
O 3.761 8.567 0.951
O 4.369 1.664 0.962
O 1.925 3.247 4.442
```



[2]
A plane-wave DFT calculation with meta-GGA SCAN was carried out for NiPH15O11 at its PBEsol-relaxed geometry.

Calculated values
For the density of states at the Fermi level, the calculation gives 0.00 states/eV/f.u. The calculation puts the total DFT energy (no corrections) at -6.509 eV per atom. The volume is 8.03 Å³ per atom. As for the spin magnetization: 4.1 Bohr magnetons per cell. As for the theoretical density: 2073 kg/m3.

Structure (extended XYZ):
```
56
Lattice="6.810 0.000 0.000 0.000 5.904 0.000 0.000 0.000 11.188" Properties=species:S:1:pos:R:3 pbc="T T T"
Ni 0.000 0.783 0.000
Ni 3.405 5.121 5.594
P 0.000 2.882 4.088
P 3.405 3.022 9.682
H 0.000 1.506 6.287
H 0.000 4.023 0.386
H 0.000 4.651 1.906
H 0.807 3.013 9.882
H 0.826 5.899 6.784
H 1.184 3.889 6.345
H 1.245 5.133 4.013
H 1.458 1.679 2.149
H 1.634 5.155 9.738
H 1.771 0.749 4.144
H 1.947 4.225 7.742
H 2.160 0.771 9.607
H 2.221 2.015 0.751
H 2.579 0.005 1.190
H 2.598 2.891 4.288
H 3.405 1.252 7.500
H 3.405 1.881 5.980
H 3.405 4.398 0.693
H 4.212 2.891 4.288
H 4.231 0.005 1.190
H 4.589 2.015 0.751
H 4.650 0.771 9.607
H 4.863 4.225 7.742
H 5.039 0.749 4.144
H 5.176 5.155 9.738
H 5.352 1.679 2.149
H 5.565 5.133 4.013
H 5.626 3.889 6.345
H 5.984 5.899 6.784
H 6.003 3.013 9.882
O 0.000 0.608 6.840
O 0.000 2.750 10.438
O 0.000 2.870 5.654
O 0.000 4.332 3.560
O 0.000 4.866 0.926
O 1.287 2.180 3.591
O 1.369 0.206 9.884
O 1.641 1.319 1.202
O 1.764 4.584 6.796
O 2.036 5.698 4.290
O 2.118 3.724 9.185
O 3.405 1.038 6.520
O 3.405 1.572 9.154
O 3.405 3.033 0.060
O 3.405 3.153 4.844
O 3.405 5.296 1.246
O 4.692 3.724 9.185
O 4.773 5.698 4.290
O 5.046 4.584 6.796
O 5.169 1.319 1.202
O 5.441 0.206 9.884
O 5.523 2.180 3.591
```



Q: Which value of spin magnetization does entry 1 give?
A: 4.1 Bohr magnetons per cell



Q: Which of these has the lowest volume?
A: NiPH15O11



Q: Which of these has the lowest volume?
A: NiPH15O11



Q: Look up the spin magnetization of the second one.
A: 4.1 Bohr magnetons per cell